(1)
VASP calculation (GGA-PBE) on a geometry-optimized ZrCdCuBi structure.

Geometry as POSCAR:
```
ZrCdCuBi
1.0
0.000 3.519 3.519
3.519 0.000 3.519
3.519 3.519 0.000
Bi Cd Cu Zr
1 1 1 1
Cartesian
0.000 0.000 0.000
5.279 5.279 5.279
1.760 1.760 1.760
3.519 3.519 3.519
```

Values from the calculation:
The offset from the most stable computed form is 4.7 kJ/mol of atoms. The magnetization comes out at 0.0 μB/cell.

(2)
VASP calculation (GGA-PBE) on a geometry-optimized CdFeBi2 structure.

Geometry as POSCAR:
```
CdFeBi2
1.0
0.000 3.696 3.696
3.696 0.000 3.696
3.696 3.696 0.000
Bi Cd Fe
2 1 1
Cartesian
0.000 0.000 0.000
5.544 5.544 5.544
3.696 3.696 3.696
1.848 1.848 1.848
```

Values from the calculation:
The total energy is -3.733 eV/atom. The magnetization comes out at 2.8 μB/cell.

(3)
VASP calculation (GGA-PBE) on a geometry-optimized CdFe2Bi structure.

Geometry as POSCAR:
```
CdFe2Bi
1.0
0.000 3.321 3.321
3.321 0.000 3.321
3.321 3.321 0.000
Bi Cd Fe
1 1 2
Cartesian
3.321 3.321 3.321
1.660 1.660 1.660
0.000 0.000 0.000
4.981 4.981 4.981
```

Values from the calculation:
The total energy is -4.715 eV/atom. The magnetization comes out at 4.7 μB/cell.